Entry 1:
A relaxed structure of Y2ScTcO, computed with GGA-PBE.

The calculation puts the total magnetic moment at 0.000 μB/atom. The formation energy from raw total energies comes out at -1112 meV/atom. The calculation puts the total energy at -8.0283 eV per atom.

It has space group P4/mmm (No. 123), with a = 4.791 Å, b = 4.791 Å, c = 4.184 Å, α = 90.00°, β = 90.00° and γ = 90.00°. The distinct sites, in fractional coordinates, are Y at (0.000, 0.500, 0.000), Sc at (0.000, 0.000, 0.500), Tc at (0.500, 0.500, 0.500) and O at (0.000, 0.000, 0.000).



Entry 2:
A relaxed structure of ZrScTc2O, computed with GGA-PBE.

The calculation puts the total magnetic moment at 0.000 μB/atom. The formation energy from raw total energies comes out at -600 meV/atom. The calculation puts the total energy at -8.7136 eV per atom.

It has space group P4/mmm (No. 123), with a = 4.342 Å, b = 4.342 Å, c = 4.073 Å, α = 90.00°, β = 90.00° and γ = 90.00°. The distinct sites, in fractional coordinates, are Zr at (0.000, 0.000, 0.000), Sc at (0.500, 0.500, 0.000), Tc at (0.000, 0.500, 0.500) and O at (0.500, 0.500, 0.500).



Entry 3:
A relaxed structure of Sc2TeO, computed with GGA-PBE.

The calculation puts the total magnetic moment at 0.000 μB/atom. The formation energy from raw total energies comes out at -1377 meV/atom. Its distance to the lowest polymorph of the same formula is 0.600 eV/atom. The calculation puts the total energy at -6.5680 eV per atom.

It has space group R-3m (No. 166, hexagonal axes), with a = 3.3594 Å, b = 3.3594 Å, c = 23.7199 Å, α = 90.00°, β = 90.00° and γ = 120.00°. The distinct sites, in fractional coordinates, are Sc at (0.0000, 0.0000, 0.1178), Te at (0.0000, 0.0000, 0.0000) and O at (0.0000, 0.0000, 0.5000).